ScAlSb2: relaxed, PBE.

```
ScAlSb2
1.0
3.208 0.000 0.000
0.000 3.208 0.000
0.000 0.000 9.496
Sc Al Sb
1 1 2
direct
0.000 0.000 0.000
0.500 0.500 0.201
0.000 0.000 0.415
0.500 0.500 0.768
```

Results
Formation energy from raw total energies ... -0.16 eV per atom
N(E_F) ... 0.825 states/eV per atom
Mass density ... 5.4 g/cm³
M_tot ... 0.000 Bohr magnetons per cell
SG ... No. 99
Total DFT energy (no corrections) ... -18.96 eV per cell